Record 1
A relaxed FeHg2Au crystal, computed with PBE.

ΔE_f (eV per atom): 0.322
SG: No. 166
Relative energy among the computed polymorphs (eV/atom): 0.087
D(E_F) (states/eV/f.u.): 2.7
Calculated total energy (eV for the cell shown): -11.05
Total moment (μB/f.u.): 2.65

```
FeHg2Au
1.0
-1.4916 7.7715 5.2355
-4.0605 6.2588 5.8628
-1.5247 5.6775 7.4480
Au Fe Hg
1 1 2
Cartesian
-1.7692 4.9269 4.6366
-5.3075 14.7808 13.9098
-0.0379 0.1055 0.0992
-3.5005 9.7484 9.1739
```

---

Record 2
A relaxed FeHgAu crystal, computed with PBE.

ΔE_f (eV per atom): 0.325
SG: No. 156
Relative energy among the computed polymorphs (eV/atom): 0.071
D(E_F) (states/eV/f.u.): 2.4
Calculated total energy (eV for the cell shown): -11.07
Total moment (μB/f.u.): 2.93

```
FeHgAu
1.0
-1.1174 -2.7618 0.2493
1.7970 1.0834 2.1296
-5.4697 2.5141 3.3365
Au Fe Hg
1 1 1
Cartesian
-0.1301 0.0598 0.0793
-1.9228 -0.6634 1.9599
-2.7372 1.4393 3.6761
```

---

Record 3
A relaxed FeHg2Au crystal, computed with PBE.

ΔE_f (eV per atom): 0.358
SG: No. 6
Relative energy among the computed polymorphs (eV/atom): 0.123
D(E_F) (states/eV/f.u.): 2.0
Calculated total energy (eV for the cell shown): -10.91
Total moment (μB/f.u.): 2.87

```
FeHg2Au
1.0
4.6134 0.0000 0.0000
0.0000 3.0520 -0.0925
0.0000 1.0585 5.3951
Au Fe Hg
1 1 2
Cartesian
0.0000 2.2252 2.7550
2.3067 3.0178 3.9198
0.0000 3.9449 5.2072
2.3067 1.0883 1.3747
```

---

Record 4
A relaxed FeHg2Au crystal, computed with PBE.

ΔE_f (eV per atom): 0.387
SG: No. 225
Relative energy among the computed polymorphs (eV/atom): 0.151
D(E_F) (states/eV/f.u.): 5.3
Calculated total energy (eV for the cell shown): -10.80
Total moment (μB/f.u.): 2.96

```
FeHg2Au
1.0
0.0000 3.3478 3.3478
3.3478 0.0000 3.3478
3.3478 3.3478 0.0000
Au Hg Fe
1 2 1
Cartesian
3.3478 3.3478 3.3478
1.6739 1.6739 1.6739
5.0217 5.0217 5.0217
0.0000 0.0000 0.0000
```

---

Record 5
A relaxed FeHg2Au crystal, computed with PBE.

ΔE_f (eV per atom): 0.381
SG: No. 139
Relative energy among the computed polymorphs (eV/atom): 0.145
D(E_F) (states/eV/f.u.): 4.4
Calculated total energy (eV for the cell shown): -10.82
Total moment (μB/f.u.): 2.92

```
FeHg2Au
1.0
4.9202 -0.3207 0.0000
1.2517 4.7692 0.0000
-3.0860 -2.2242 3.1371
Au Fe Hg
1 1 2
Cartesian
0.6258 2.3846 1.5685
2.4601 -0.1603 1.5685
0.0000 0.0000 0.0000
3.0860 2.2242 0.0000
```

---

Record 6
A relaxed FeHg2Au crystal, computed with PBE.

ΔE_f (eV per atom): 0.297
SG: No. 160
Relative energy among the computed polymorphs (eV/atom): 0.061
D(E_F) (states/eV/f.u.): 2.6
Calculated total energy (eV for the cell shown): -11.16
Total moment (μB/f.u.): 2.89

```
FeHg2Au
1.0
9.8164 0.0031 0.0018
9.3399 3.0211 0.0018
9.3399 1.4745 2.6369
Au Fe Hg
1 1 2
Cartesian
13.9672 2.2050 1.2942
21.4865 3.3921 1.9910
0.3266 0.0516 0.0303
6.9638 1.0994 0.6453
```

---

Record 7
A relaxed FeHg2Au crystal, computed with PBE.

ΔE_f (eV per atom): 0.401
SG: No. 216
Relative energy among the computed polymorphs (eV/atom): 0.165
D(E_F) (states/eV/f.u.): 3.6
Calculated total energy (eV for the cell shown): -10.74
Total moment (μB/f.u.): 3.16

```
FeHg2Au
1.0
4.7490 0.0000 0.0000
2.3745 4.1127 0.0000
2.3745 1.3709 3.8775
Au Fe Hg
1 1 2
Cartesian
4.7490 2.7418 1.9388
7.1234 4.1127 2.9081
0.0000 0.0000 0.0000
2.3745 1.3709 0.9694
```

---

Record 8
A relaxed FeHg2Au crystal, computed with PBE.

ΔE_f (eV per atom): 0.379
SG: No. 119
Relative energy among the computed polymorphs (eV/atom): 0.143
D(E_F) (states/eV/f.u.): 3.5
Calculated total energy (eV for the cell shown): -10.83
Total moment (μB/f.u.): 2.98

```
FeHg2Au
1.0
5.2248 0.0602 0.0000
1.8193 4.8982 0.0000
-3.5221 -2.4792 2.9582
Au Fe Hg
1 1 2
Cartesian
3.5221 2.4792 0.0000
2.6124 0.0301 1.4791
0.0000 0.0000 0.0000
0.9097 2.4491 1.4791
```